Entry 1:
Mg17Zn11Co after structural relaxation, computed with PBE.

Cell: 8.6625 8.6625 8.6852 Å, 106.82 106.82 107.44°
Atoms (fractional coordinates):
Mg1 0.5848 0.9951 0.3407
Mg2 0.6941 0.6941 0.3038
Mg3 0.5759 0.3437 0.9966
Zn1 0.1890 0.1890 0.8096
Mg4 0.6304 0.3768 0.3705
Zn2 0.8331 0.0232 0.6456
Zn3 0.3189 0.1332 0.3145
Mg5 0.9951 0.5848 0.3407
Mg6 0.3437 0.5759 0.9966
Zn4 0.8422 0.6531 0.0310
Mg7 0.3741 0.3741 0.6391
Mg8 0.3768 0.6304 0.3705
Zn5 0.7946 0.1919 0.1916
Mg9 0.3142 0.7022 0.7040
Mg10 0.0096 0.0096 0.9981
Mg11 0.0029 0.0029 0.3728
Zn6 0.1919 0.7946 0.1916
Zn7 0.6531 0.8422 0.0310
Zn8 0.6515 0.0322 0.8403
Co1 0.3199 0.3199 0.1323
Mg12 0.0130 0.3670 0.0047
Zn9 0.0322 0.6515 0.8403
Mg13 0.7022 0.3142 0.7040
Mg14 0.9914 0.3421 0.5804
Zn10 0.0232 0.8331 0.6456
Zn11 0.1332 0.3189 0.3145
Mg15 0.3421 0.9914 0.5804
Mg16 0.6998 0.6998 0.7045
Mg17 0.3670 0.0130 0.0047

Properties
Magnetic moment in μB/f.u.: 0.000
Energy of formation from the pure elements in eV per atom: -0.065
Mass density in g/cm³: 3.6


Entry 2:
Mg2Zn3Co after structural relaxation, computed with PBE.

Cell: 5.0898 5.0898 5.0651 Å, 90.16 120.23 119.75°
Last column: magnetic moment on the atom in μB.
Atoms (fractional coordinates):
Zn1 0.5000 0.0000 0.5000  -0.01
Mg1 0.2611 0.6307 0.8918  0.00
Mg2 0.7389 0.3693 0.1082  0.00
Zn2 0.5000 0.5000 0.5000  -0.01
Co1 0.0000 0.0000 0.0000  0.61
Zn3 0.0000 0.0000 0.5000  -0.01

Properties
Magnetic moment in μB/f.u.: 0.552
Energy of formation from the pure elements in eV per atom: -0.154
Relative energy among the computed polymorphs in eV per formula unit: 0.000
Mass density in g/cm³: 5.4


Entry 3:
Mg2ZnCo after structural relaxation, computed with PBE.

Cell: 5.0215 5.0215 5.0215 Å, 134.98 134.98 65.56°
Last column: magnetic moment on the atom in μB.
Atoms (fractional coordinates):
Mg1 0.0000 0.0000 0.0000  -0.01
Co1 0.7500 0.2500 0.5000  1.08
Mg2 0.2500 0.7500 0.5000  -0.01
Zn1 0.5000 0.5000 0.0000  -0.03

Properties
Magnetic moment in μB/f.u.: 0.919
Energy of formation from the pure elements in eV per atom: 0.042
Mass density in g/cm³: 4.6